[1]
The following is a PBE calculation of a geometry-optimized Zr2Fe5Ge3H2 structure, from Alexandria.

a = 3.7836 Å, b = 3.7836 Å, c = 20.7485 Å
α = 90.00°, β = 90.00°, γ = 90.00°
Last column: nearest neighbours and their distance in Å.
Space group I4/mmm (No. 139)
Unique sites:
Zr 0.0000 0.0000 0.1965 (multiplicity 4)  1 H 2.26
Fe 0.0000 0.0000 0.0000 (multiplicity 2)  2 H 1.81
Fe 0.0000 0.5000 0.0845 (multiplicity 8)  2 H 1.89
Ge 0.0000 0.0000 0.3331 (multiplicity 4)  4 Fe 2.55, 5 Zr 2.75-2.83
Ge 0.0000 0.0000 0.5000 (multiplicity 2)  12 Fe 2.58-2.68
H 0.0000 0.0000 0.0875 (multiplicity 4)  5 Fe 1.81-1.89

The value obtained for the raw total energy is -7.0200 eV/atom.



[2]
The following is a PBE calculation of a geometry-optimized Zr2FeGeH structure, from Alexandria.

a = 4.4314 Å, b = 4.4314 Å, c = 3.7135 Å
α = 90.00°, β = 90.00°, γ = 90.00°
Last column: nearest neighbours and their distance in Å.
Space group P4/mmm (No. 123)
Unique sites:
Zr 0.0000 0.5000 0.0000 (multiplicity 2)  2 H 2.22
Fe 0.0000 0.0000 0.5000 (multiplicity 1)  2 H 1.86
Ge 0.5000 0.5000 0.5000 (multiplicity 1)  8 Zr 2.89, 4 Fe 3.13
H 0.0000 0.0000 0.0000 (multiplicity 1)  2 Fe 1.86

The value obtained for the raw total energy is -7.1051 eV/atom.



[3]
The following is a PBE calculation of a geometry-optimized Hf4FeGe structure, from Alexandria.

a = 6.4593 Å, b = 6.4593 Å, c = 5.4776 Å
α = 90.00°, β = 90.00°, γ = 90.00°
Last column: nearest neighbours and their distance in Å.
Space group P4/mcc (No. 124)
Unique sites:
Hf 0.1509 0.3182 0.0000 (multiplicity 8)  2 Fe 2.66, 2 Ge 2.89
Fe 0.0000 0.0000 0.2500 (multiplicity 2)  8 Hf 2.66, 2 Fe 2.74
Ge 0.5000 0.5000 0.2500 (multiplicity 2)  2 Ge 2.74, 8 Hf 2.89

The value obtained for the formation enthalpy at 0 K is -2.37 eV/f.u.



[4]
The following is a PBE calculation of a geometry-optimized Hf5Fe2Ge structure, from Alexandria.

a = 6.5911 Å, b = 6.5911 Å, c = 13.4945 Å
α = 90.00°, β = 90.00°, γ = 90.00°
Last column: nearest neighbours and their distance in Å.
Space group I4/mcm (No. 140)
Unique sites:
Hf 0.0000 0.0000 0.0000 (multiplicity 4)  4 Fe 2.58
Hf 0.1639 0.3361 0.1443 (multiplicity 16)  3 Fe 2.73-2.76, 2 Ge 2.85, 1 Hf 3.06
Fe 0.1312 0.3688 0.5000 (multiplicity 8)  1 Fe 2.45, 4 Hf 2.58-2.73
Ge 0.0000 0.0000 0.2500 (multiplicity 4)  8 Hf 2.85

The value obtained for the formation enthalpy at 0 K is -2.51 eV/f.u.



[5]
The following is a PBE calculation of a geometry-optimized Hf2Fe5Ge4 structure, from Alexandria.

a = 5.0556 Å, b = 8.7328 Å, c = 14.9094 Å
α = 90.00°, β = 90.00°, γ = 90.00°
Last column: nearest neighbours and their distance in Å.
Space group Fmmm (No. 69)
Unique sites:
Hf 0.0000 0.0000 0.1157 (multiplicity 8)  6 Ge 2.88-3.02, 10 Fe 3.06-3.22
Fe 0.0000 0.0000 0.5000 (multiplicity 4)  4 Ge 2.39, 4 Fe 2.52
Fe 0.2500 0.2500 0.0000 (multiplicity 8)  4 Ge 2.49, 4 Fe 2.52-2.53
Fe 0.2500 0.2500 0.2500 (multiplicity 8)  4 Ge 2.31, 2 Fe 2.53
Ge 0.0000 0.1552 0.3676 (multiplicity 16)  5 Fe 2.31-2.49

The value obtained for the formation enthalpy at 0 K is -2.02 eV/f.u.



[6]
The following is a PBE calculation of a geometry-optimized HfFe5Ge2 structure, from Alexandria.

a = 3.1834 Å, b = 7.0715 Å, c = 9.6714 Å
α = 90.00°, β = 90.00°, γ = 90.00°
Last column: nearest neighbours and their distance in Å.
Space group Immm (No. 71)
Unique sites:
Hf 0.0000 0.0000 0.0000 (multiplicity 2)  4 Ge 2.85, 8 Fe 2.93, 2 Hf 3.18
Fe 0.0000 0.2011 0.3704 (multiplicity 8)  3 Ge 2.39-2.46, 3 Fe 2.48-2.51
Fe 0.0000 0.5000 0.0000 (multiplicity 2)  8 Fe 2.48, 2 Ge 2.48
Ge 0.0000 0.5000 0.2559 (multiplicity 4)  7 Fe 2.39-2.48

The value obtained for the formation enthalpy at 0 K is -1.06 eV/f.u.



[7]
The following is a PBE calculation of a geometry-optimized Hf2FeGe3 structure, from Alexandria.

a = 4.0230 Å, b = 5.4506 Å, c = 10.0239 Å
α = 90.00°, β = 90.00°, γ = 90.00°
Last column: nearest neighbours and their distance in Å.
Space group Immm (No. 71)
Unique sites:
Hf 0.0000 0.0000 0.1823 (multiplicity 4)  6 Ge 2.70-2.76
Fe 0.0000 0.0000 0.5000 (multiplicity 2)  6 Ge 2.44-2.73
Ge 0.0000 0.5000 0.1378 (multiplicity 4)  2 Fe 2.44, 2 Hf 2.70
Ge 0.0000 0.5000 0.5000 (multiplicity 2)  4 Hf 2.72, 2 Fe 2.73

The value obtained for the formation enthalpy at 0 K is -1.34 eV/f.u.



[8]
The following is a PBE calculation of a geometry-optimized Hf3FeGe structure, from Alexandria.

a = 4.8078 Å, b = 4.8078 Å, c = 4.8078 Å
α = 90.00°, β = 90.00°, γ = 90.00°
Last column: nearest neighbours and their distance in Å.
Space group Pm-3m (No. 221)
Unique sites:
Hf 0.0000 0.0000 0.5000 (multiplicity 3)  2 Fe 2.40
Fe 0.0000 0.0000 0.0000 (multiplicity 1)  6 Hf 2.40
Ge 0.5000 0.5000 0.5000 (multiplicity 1)  12 Hf 3.40

The value obtained for the formation enthalpy at 0 K is 0.81 eV/f.u.



[9]
The following is a PBE calculation of a geometry-optimized HfFeGe3 structure, from Alexandria.

a = 11.2052 Å, b = 5.4219 Å, c = 5.3619 Å
α = 90.00°, β = 90.00°, γ = 90.00°
Last column: nearest neighbours and their distance in Å.
Space group Pbcm (No. 57)
Unique sites:
Hf 0.1949 0.0109 0.2500 (multiplicity 4)  9 Ge 2.78-2.93, 2 Fe 2.89
Fe 0.3915 0.2500 0.0000 (multiplicity 4)  6 Ge 2.40-2.42, 2 Fe 2.68
Ge 0.0001 0.2500 0.0000 (multiplicity 4)  4 Ge 2.68-2.71, 4 Hf 2.87-2.93
Ge 0.2731 0.5245 0.2500 (multiplicity 4)  2 Fe 2.40
Ge 0.4429 0.6046 0.7500 (multiplicity 4)  4 Fe 2.41-2.42

The value obtained for the formation enthalpy at 0 K is -1.72 eV/f.u.



[10]
The following is a PBE calculation of a geometry-optimized Hf4Fe4Ge7 structure, from Alexandria.

a = 13.3526 Å, b = 13.3526 Å, c = 5.1417 Å
α = 90.00°, β = 90.00°, γ = 90.00°
Last column: nearest neighbours and their distance in Å.
Space group I4/mmm (No. 139)
Unique sites:
Hf 0.0000 0.1944 0.0000 (multiplicity 8)  7 Ge 2.75-2.90
Hf 0.1392 0.1392 0.5000 (multiplicity 8)  7 Ge 2.73-2.93
Fe 0.1491 0.3509 0.2500 (multiplicity 16)  6 Ge 2.45-2.51, 2 Fe 2.57
Ge 0.0000 0.0000 0.2516 (multiplicity 4)  2 Ge 2.55-2.59
Ge 0.0000 0.2892 0.5000 (multiplicity 8)  4 Fe 2.51, 2 Hf 2.73
Ge 0.0000 0.4061 0.0000 (multiplicity 8)  4 Fe 2.48, 1 Ge 2.51
Ge 0.2055 0.2055 0.0000 (multiplicity 8)  4 Fe 2.45

The value obtained for the formation enthalpy at 0 K is -7.40 eV/f.u.



[11]
The following is a PBE calculation of a geometry-optimized HfFe3Ge structure, from Alexandria.

a = 4.7497 Å, b = 6.6522 Å, c = 8.8518 Å
α = 90.00°, β = 90.00°, γ = 90.00°
Last column: nearest neighbours and their distance in Å.
Space group Imma (No. 74)
Unique sites:
Hf 0.0000 0.2500 0.0171 (multiplicity 4)  3 Fe 2.59-2.83
Fe 0.0000 0.2500 0.3092 (multiplicity 4)  2 Ge 2.37, 6 Fe 2.46-2.60, 1 Hf 2.59
Fe 0.2500 0.0637 0.7500 (multiplicity 8)  5 Fe 2.37-2.48, 2 Ge 2.55
Ge 0.0000 0.0000 0.5000 (multiplicity 4)  6 Fe 2.37-2.55

The energy relative to the lowest polymorph listed for this composition comes out at 0.000 eV per formula unit. The value obtained for the formation enthalpy at 0 K is -0.68 eV/f.u.



[12]
The following is a PBE calculation of a geometry-optimized HfFe3Ge structure, from Alexandria.

a = 4.6322 Å, b = 4.6322 Å, c = 4.6322 Å
α = 90.00°, β = 90.00°, γ = 90.00°
Last column: nearest neighbours and their distance in Å.
Space group Pm-3m (No. 221)
Unique sites:
Hf 0.0000 0.0000 0.0000 (multiplicity 1)  6 Fe 2.32
Fe 0.0000 0.0000 0.5000 (multiplicity 3)  2 Hf 2.32
Ge 0.5000 0.5000 0.5000 (multiplicity 1)  12 Fe 3.28

The energy relative to the lowest polymorph listed for this composition comes out at 8.175 eV per formula unit. The value obtained for the formation enthalpy at 0 K is 7.49 eV/f.u.



[13]
The following is a PBE calculation of a geometry-optimized Hf5FeGe5 structure, from Alexandria.

a = 12.1754 Å, b = 5.3758 Å, c = 6.8438 Å
α = 90.00°, β = 108.63°, γ = 90.00°
Last column: nearest neighbours and their distance in Å.
Space group C2/m (No. 12)
Unique sites:
Hf 0.0000 0.0000 0.0000 (multiplicity 2)  4 Ge 2.79-2.85
Hf 0.1068 0.5000 0.2208 (multiplicity 4)  4 Ge 2.63-2.95
Hf 0.1850 0.5000 0.8286 (multiplicity 4)  5 Ge 2.63-2.70
Fe 0.0000 0.0000 0.5000 (multiplicity 2)  4 Ge 2.36-2.43
Ge 0.0000 0.5000 0.5000 (multiplicity 2)  4 Hf 2.63, 2 Fe 2.69
Ge 0.1656 0.0000 0.7961 (multiplicity 4)  1 Fe 2.36, 1 Hf 2.63
Ge 0.1728 0.0000 0.3954 (multiplicity 4)  1 Fe 2.43, 1 Hf 2.65

The value obtained for the formation enthalpy at 0 K is -2.58 eV/f.u.



[14]
The following is a PBE calculation of a geometry-optimized HfFe2Ge2 structure, from Alexandria.

a = 5.2093 Å, b = 8.1863 Å, c = 7.1035 Å
α = 90.00°, β = 90.00°, γ = 90.00°
Last column: nearest neighbours and their distance in Å.
Space group Cmme (No. 67)
Unique sites:
Hf 0.0000 0.2500 0.2416 (multiplicity 4)  6 Fe 2.84-2.96, 8 Ge 2.97-3.04
Fe 0.0000 0.1119 0.7503 (multiplicity 8)  1 Fe 2.26, 4 Ge 2.38-2.39
Ge 0.2500 0.0000 0.0000 (multiplicity 4)  4 Fe 2.38, 2 Ge 2.60
Ge 0.2500 0.0000 0.5000 (multiplicity 4)  4 Fe 2.39, 2 Ge 2.60

The value obtained for the formation enthalpy at 0 K is -0.74 eV/f.u.



[15]
The following is a PBE calculation of a geometry-optimized HfFe4Ge2 structure, from Alexandria.

a = 4.4687 Å, b = 4.4687 Å, c = 12.7085 Å
α = 90.00°, β = 90.00°, γ = 90.00°
Last column: nearest neighbours and their distance in Å.
Space group I4/mmm (No. 139)
Unique sites:
Hf 0.0000 0.0000 0.0000 (multiplicity 2)  4 Fe 2.23
Fe 0.0000 0.0000 0.2010 (multiplicity 4)  1 Ge 2.39, 1 Hf 2.55
Fe 0.0000 0.5000 0.0000 (multiplicity 4)  2 Hf 2.23
Ge 0.0000 0.0000 0.3889 (multiplicity 4)  5 Fe 2.39-2.64

The energy relative to the lowest polymorph listed for this composition comes out at 9.222 eV per formula unit. The value obtained for the formation enthalpy at 0 K is 7.40 eV/f.u.



[16]
The following is a PBE calculation of a geometry-optimized Hf2Fe3Ge2 structure, from Alexandria.

a = 3.6704 Å, b = 17.4360 Å, c = 3.5202 Å
α = 90.00°, β = 90.00°, γ = 90.00°
Last column: nearest neighbours and their distance in Å.
Space group Cmmm (No. 65)
Unique sites:
Hf 0.0000 0.1497 0.0000 (multiplicity 4)  1 Fe 2.61, 4 Ge 2.70
Fe 0.0000 0.0000 0.0000 (multiplicity 2)  2 Hf 2.61, 8 Fe 2.76
Fe 0.0000 0.4378 0.5000 (multiplicity 4)  1 Fe 2.17
Ge 0.0000 0.2977 0.5000 (multiplicity 4)  1 Fe 2.44, 2 Ge 2.48, 4 Hf 2.70

The value obtained for the formation enthalpy at 0 K is -0.24 eV/f.u.



[17]
The following is a PBE calculation of a geometry-optimized HfFe4Ge2 structure, from Alexandria.

a = 6.9383 Å, b = 6.9383 Å, c = 3.9336 Å
α = 90.00°, β = 90.00°, γ = 90.00°
Last column: nearest neighbours and their distance in Å.
Space group P4_2/mnm (No. 136)
Unique sites:
Hf 0.0000 0.0000 0.0000 (multiplicity 2)  6 Ge 2.84-2.85, 4 Fe 2.94
Fe 0.1009 0.3597 0.5000 (multiplicity 8)  3 Ge 2.40-2.41, 6 Fe 2.40-2.60
Ge 0.2108 0.7892 0.5000 (multiplicity 4)  6 Fe 2.40-2.41

The energy relative to the lowest polymorph listed for this composition comes out at 0.000 eV per formula unit. The value obtained for the formation enthalpy at 0 K is -1.82 eV/f.u.



[18]
The following is a PBE calculation of a geometry-optimized HfFe3Ge structure, from Alexandria.

a = 4.2200 Å, b = 4.2200 Å, c = 4.2200 Å
α = 90.00°, β = 90.00°, γ = 90.00°
Last column: nearest neighbours and their distance in Å.
Space group Pm-3m (No. 221)
Unique sites:
Hf 0.0000 0.0000 0.0000 (multiplicity 1)  12 Fe 2.98
Fe 0.0000 0.5000 0.5000 (multiplicity 3)  2 Ge 2.11
Ge 0.5000 0.5000 0.5000 (multiplicity 1)  6 Fe 2.11

The energy relative to the lowest polymorph listed for this composition comes out at 3.646 eV per formula unit. The value obtained for the formation enthalpy at 0 K is 2.96 eV/f.u.



[19]
The following is a PBE calculation of a geometry-optimized HfFeGe3 structure, from Alexandria.

a = 4.5547 Å, b = 4.5547 Å, c = 4.5547 Å
α = 90.00°, β = 90.00°, γ = 90.00°
Last column: nearest neighbours and their distance in Å.
Space group Pm-3m (No. 221)
Unique sites:
Hf 0.0000 0.0000 0.0000 (multiplicity 1)  12 Ge 3.22
Fe 0.5000 0.5000 0.5000 (multiplicity 1)  6 Ge 2.28
Ge 0.0000 0.5000 0.5000 (multiplicity 3)  2 Fe 2.28

The value obtained for the formation enthalpy at 0 K is 1.98 eV/f.u.



[20]
The following is a PBE calculation of a geometry-optimized Hf3FeGe2 structure, from Alexandria.

a = 10.6361 Å, b = 3.9514 Å, c = 10.2939 Å
α = 90.00°, β = 90.00°, γ = 90.00°
Last column: nearest neighbours and their distance in Å.
Space group Pnma (No. 62)
Unique sites:
Hf 0.0525 0.2500 0.1244 (multiplicity 4)  1 Fe 2.55, 4 Ge 2.75-2.78
Hf 0.1206 0.7500 0.5614 (multiplicity 4)  5 Ge 2.76-2.87, 3 Fe 2.78-2.87
Hf 0.2245 0.2500 0.8039 (multiplicity 4)  2 Fe 2.58, 4 Ge 2.76-2.89
Fe 0.1289 0.2500 0.3596 (multiplicity 4)  3 Ge 2.40-2.43, 3 Hf 2.55-2.58
Ge 0.0102 0.7500 0.3099 (multiplicity 4)  2 Fe 2.40
Ge 0.1916 0.7500 0.0055 (multiplicity 4)  1 Fe 2.43

The value obtained for the formation enthalpy at 0 K is -3.36 eV/f.u.



[21]
The following is a PBE calculation of a geometry-optimized HfFe6Ge6 structure, from Alexandria.

a = 5.0567 Å, b = 5.0567 Å, c = 8.0357 Å
α = 90.00°, β = 90.00°, γ = 120.00°
Last column: nearest neighbours and their distance in Å.
Space group P6/mmm (No. 191)
Unique sites:
Hf 0.0000 0.0000 0.0000 (multiplicity 1)  8 Ge 2.75-2.92
Fe 0.0000 0.5000 0.2485 (multiplicity 6)  6 Ge 2.47-2.64, 4 Fe 2.53
Ge 0.0000 0.0000 0.3418 (multiplicity 2)  1 Ge 2.54, 6 Fe 2.64, 1 Hf 2.75
Ge 0.3333 0.6667 0.0000 (multiplicity 2)  6 Fe 2.47
Ge 0.3333 0.6667 0.5000 (multiplicity 2)  6 Fe 2.49

The energy relative to the lowest polymorph listed for this composition comes out at 0.000 eV per formula unit. The value obtained for the formation enthalpy at 0 K is -3.03 eV/f.u.